# 1
26
Lattice="5.6749 0.0000 0.0000 0.0000 11.5916 0.0000 0.0000 0.0000 4.1151" Properties=species:S:1:pos:R:3 comment="PBE-GGA Mg2ReB10, relaxed" density_g_cm3=4.2 total_energy_ev_per_atom=-6.217 space_group="Pbam (55)" ef_ev_per_atom=0.12 volume_a3_per_atom=10.4 pbc="T T T"
Mg 1.3217 1.6383 0.0000
Mg 1.5158 7.4341 0.0000
Mg 4.1591 4.1575 0.0000
Mg 4.3532 9.9532 0.0000
Re 0.0000 5.7958 2.0575
Re 2.8374 0.0000 2.0575
B 0.3410 3.5580 2.0575
B 0.6421 11.0677 2.0575
B 0.7300 9.2999 2.0575
B 1.2929 4.3743 0.8154
B 1.2929 4.3743 3.2997
B 1.5445 10.1701 0.8154
B 1.5445 10.1701 3.2997
B 2.1074 3.5041 2.0575
B 2.1953 5.2719 2.0575
B 2.4965 9.3538 2.0575
B 3.1784 2.2378 2.0575
B 3.4796 6.3196 2.0575
B 3.5675 8.0874 2.0575
B 4.1304 1.4215 0.8154
B 4.1304 1.4215 3.2997
B 4.3819 7.2173 0.8154
B 4.3819 7.2173 3.2997
B 4.9449 2.2917 2.0575
B 5.0328 0.5238 2.0575
B 5.3339 8.0336 2.0575

---

# 2
14
Lattice="3.4005 1.9633 6.3446 -3.4005 1.9633 6.3446 0.0000 -3.9266 6.3446" Properties=species:S:1:pos:R:3 comment="PBE-GGA NdZn3Pd3, relaxed" density_g_cm3=8.6 total_energy_ev_per_atom=-3.944 space_group="R-3 (148)" de_polymorph_kj_per_mol_fu=0 ef_ev_per_atom=-0.49 volume_a3_per_atom=18.2 pbc="T T T"
Nd 0.0000 0.0000 3.0067
Nd 0.0000 0.0000 16.0269
Zn -1.7564 0.3403 5.6726
Zn 0.5835 -1.6912 5.6726
Zn -1.1729 -1.3509 13.3611
Zn 1.1729 1.3509 5.6726
Zn -0.5835 1.6912 13.3611
Zn 1.7564 -0.3403 13.3611
Pd -1.6118 -0.0004 8.2562
Pd -0.8055 -1.3961 10.7775
Pd 0.8063 -1.3957 8.2562
Pd -0.8063 1.3957 10.7775
Pd 0.8055 1.3961 8.2562
Pd 1.6118 0.0004 10.7775

---

Q: Number 1 is which compound?
A: Mg2ReB10